# YTlI2O8

Crystalline YTlI2O8 at its relaxed geometry (GGA-PBE, the Alexandria database).

Structure (POSCAR):
```
YTlI2O8
1.0
-1.062 3.433 3.557
1.500 -2.915 3.849
6.671 2.671 -0.466
O Tl I Y
8 1 2 1
direct
0.308 0.308 0.944
0.318 0.318 0.543
0.762 0.166 0.749
0.238 0.834 0.251
0.692 0.692 0.056
0.166 0.762 0.749
0.834 0.238 0.251
0.682 0.682 0.457
0.000 0.000 0.500
0.471 0.471 0.745
0.529 0.529 0.255
0.000 0.000 0.000
```

Size of the total moment   0.00 μB/f.u.
Theoretical density   6.112 g/cm³
Calculated total energy   -5.38 eV per atom